Entry 1:
Ni2BPd | PBE | optimized geometry

Cell and atoms, written as CIF:
```
data_Ni2BPd
_chemical_formula_sum 'Ni8 B4 Pd4'
_symmetry_space_group_name_H-M 'I -4 2 d'
_symmetry_Int_Tables_number 122
_symmetry_space_group_name_Hall 'I -4 2bw'
_cell_length_a 4.0970
_cell_length_b 4.0970
_cell_length_c 12.7899
_cell_angle_alpha 90.00
_cell_angle_beta 90.00
_cell_angle_gamma 90.00
loop_
_atom_site_label
_atom_site_type_symbol
_atom_site_fract_x
_atom_site_fract_y
_atom_site_fract_z
Ni1 Ni 0.1220 0.2500 0.1250
B1 B 0.0000 0.0000 0.0000
Pd1 Pd 0.0000 0.0000 0.5000
```

- DFT formation energy: 0.558 eV per atom
- Calculated total energy: -5.300 eV per atom

***

Entry 2:
Si2PRu | PBE | optimized geometry

Cell and atoms, written as CIF:
```
data_Si2PRu
_chemical_formula_sum 'Si6 P3 Ru3'
_symmetry_space_group_name_H-M 'R -3 m'
_symmetry_Int_Tables_number 166
_symmetry_space_group_name_Hall '-R 3 2"'
_cell_length_a 3.0754
_cell_length_b 3.0754
_cell_length_c 20.4792
_cell_angle_alpha 90.00
_cell_angle_beta 90.00
_cell_angle_gamma 120.00
loop_
_atom_site_label
_atom_site_type_symbol
_atom_site_fract_x
_atom_site_fract_y
_atom_site_fract_z
Si1 Si 0.0000 0.0000 0.2487
P1 P 0.0000 0.0000 0.5000
Ru1 Ru 0.0000 0.0000 0.0000
```

- Energy relative to the elements, uncorrected: -0.09 eV/atom
- Calculated total energy: -6.468 eV per atom

***

Entry 3:
KRe3 | PBE | optimized geometry

Cell and atoms, written as CIF:
```
data_KRe3
_chemical_formula_sum 'K2 Re6'
_symmetry_space_group_name_H-M 'C 1 2/m 1'
_symmetry_Int_Tables_number 12
_cell_length_a 9.4321
_cell_length_b 2.8188
_cell_length_c 6.8434
_cell_angle_alpha 90.00
_cell_angle_beta 97.31
_cell_angle_gamma 90.00
loop_
_symmetry_equiv_pos_as_xyz
'x,y,z'
'-x,-y,-z'
'-x,y,-z'
'x,-y,z'
'x+1/2,y+1/2,z'
'-x+1/2,-y+1/2,-z'
'-x+1/2,y+1/2,-z'
'x+1/2,-y+1/2,z'
loop_
_atom_site_label
_atom_site_type_symbol
_atom_site_fract_x
_atom_site_fract_y
_atom_site_fract_z
K1 K 0.0000 0.0000 0.0000
Re1 Re 0.0000 0.5000 0.5000
Re2 Re 0.2173 0.0000 0.6407
```

- DFT formation energy: 1.065 eV per atom
- Calculated total energy: -8.545 eV per atom
- Offset from the most stable computed form: 338 meV per atom

***

Entry 4:
Rb3Tl3Sb2 | PBE | optimized geometry

Cell and atoms, written as CIF:
```
data_Rb3Tl3Sb2
_chemical_formula_sum 'Rb12 Tl12 Sb8'
_symmetry_space_group_name_H-M 'C m c m'
_symmetry_Int_Tables_number 63
_symmetry_space_group_name_Hall '-C 2c 2'
_cell_length_a 5.2502
_cell_length_b 13.5939
_cell_length_c 18.3094
_cell_angle_alpha 90.00
_cell_angle_beta 90.00
_cell_angle_gamma 90.00
loop_
_atom_site_label
_atom_site_type_symbol
_atom_site_fract_x
_atom_site_fract_y
_atom_site_fract_z
Rb1 Rb 0.0000 0.0683 0.1038
Rb2 Rb 0.0000 0.3637 0.2500
Tl1 Tl 0.0000 0.3545 0.7500
Tl2 Tl 0.0000 0.3562 0.0309
Sb1 Sb 0.0000 0.2193 0.6149
```

- Energy relative to the elements, uncorrected: -0.28 eV/atom
- Calculated total energy: -2.560 eV per atom
- Offset from the most stable computed form: 0 meV per atom

***

Entry 5:
SmErSc2 | PBE | optimized geometry

Cell and atoms, written as CIF:
```
data_SmErSc2
_chemical_formula_sum 'Sm1 Er1 Sc2'
_symmetry_space_group_name_H-M 'P 4/m m m'
_symmetry_Int_Tables_number 123
_symmetry_space_group_name_Hall '-P 4 2'
_cell_length_a 3.8729
_cell_length_b 3.8729
_cell_length_c 7.5144
_cell_angle_alpha 90.00
_cell_angle_beta 90.00
_cell_angle_gamma 90.00
loop_
_atom_site_label
_atom_site_type_symbol
_atom_site_fract_x
_atom_site_fract_y
_atom_site_fract_z
Sm1 Sm 0.0000 0.0000 0.0000
Er1 Er 0.0000 0.0000 0.5000
Sc1 Sc 0.5000 0.5000 0.2567
```

- DFT formation energy: 0.082 eV per atom
- Calculated total energy: -5.404 eV per atom
- Offset from the most stable computed form: 34 meV per atom

***

Entry 6:
Tl2W2Se5 | PBE | optimized geometry

Cell and atoms, written as CIF:
```
data_Tl2W2Se5
_chemical_formula_sum 'Tl4 W4 Se10'
_symmetry_space_group_name_H-M 'C 1 2/m 1'
_symmetry_Int_Tables_number 12
_cell_length_a 13.8914
_cell_length_b 4.9400
_cell_length_c 8.0661
_cell_angle_alpha 90.00
_cell_angle_beta 99.91
_cell_angle_gamma 90.00
loop_
_symmetry_equiv_pos_as_xyz
'x,y,z'
'-x,-y,-z'
'-x,y,-z'
'x,-y,z'
'x+1/2,y+1/2,z'
'-x+1/2,-y+1/2,-z'
'-x+1/2,y+1/2,-z'
'x+1/2,-y+1/2,z'
loop_
_atom_site_label
_atom_site_type_symbol
_atom_site_fract_x
_atom_site_fract_y
_atom_site_fract_z
Tl1 Tl 0.1115 0.0000 0.3180
W1 W 0.1461 0.5000 0.8804
Se1 Se 0.0000 0.5000 0.0000
Se2 Se 0.1466 0.5000 0.5881
Se3 Se 0.1870 0.0000 0.9413
```

- Energy relative to the elements, uncorrected: -0.06 eV/atom
- Calculated total energy: -5.403 eV per atom

***

Entry 7:
Li4Th3AgSe8 | PBE | optimized geometry

Cell and atoms, written as CIF:
```
data_Li4Th3AgSe8
_chemical_formula_sum 'Li12 Th9 Ag3 Se24'
_symmetry_space_group_name_H-M 'R -3 m'
_symmetry_Int_Tables_number 166
_symmetry_space_group_name_Hall '-R 3 2"'
_cell_length_a 8.2648
_cell_length_b 8.2648
_cell_length_c 19.6158
_cell_angle_alpha 90.00
_cell_angle_beta 90.00
_cell_angle_gamma 120.00
loop_
_atom_site_label
_atom_site_type_symbol
_atom_site_fract_x
_atom_site_fract_y
_atom_site_fract_z
Li1 Li 0.0000 0.0000 0.0000
Li2 Li 0.0000 0.5000 0.0000
Th1 Th 0.0000 0.5000 0.5000
Ag1 Ag 0.0000 0.0000 0.5000
Se1 Se 0.0000 0.0000 0.2565
Se2 Se 0.0034 0.5017 0.7468
```

- Energy relative to the elements, uncorrected: -1.35 eV/atom
- Calculated total energy: -5.139 eV per atom

***

Entry 8:
PmP2Ir2 | PBE | optimized geometry

Cell and atoms, written as CIF:
```
data_PmP2Ir2
_chemical_formula_sum 'Pm2 P4 Ir4'
_symmetry_space_group_name_H-M 'P 4/n m m'
_symmetry_Int_Tables_number 129
_cell_length_a 4.1699
_cell_length_b 4.1699
_cell_length_c 9.6030
_cell_angle_alpha 90.00
_cell_angle_beta 90.00
_cell_angle_gamma 90.00
loop_
_symmetry_equiv_pos_as_xyz
'x,y,z'
'-x,-y,-z'
'-y+1/2,x,z'
'y+1/2,-x,-z'
'-x+1/2,-y+1/2,z'
'x+1/2,y+1/2,-z'
'y,-x+1/2,z'
'-y,x+1/2,-z'
'x+1/2,-y,-z'
'-x+1/2,y,z'
'-y,-x,-z'
'y,x,z'
'-x,y+1/2,-z'
'x,-y+1/2,z'
'y+1/2,x+1/2,-z'
'-y+1/2,-x+1/2,z'
loop_
_atom_site_label
_atom_site_type_symbol
_atom_site_fract_x
_atom_site_fract_y
_atom_site_fract_z
Pm1 Pm 0.2500 0.2500 0.2416
P1 P 0.2500 0.2500 0.6403
P2 P 0.2500 0.7500 0.0000
Ir1 Ir 0.2500 0.2500 0.8868
Ir2 Ir 0.2500 0.7500 0.5000
```

- DFT formation energy: -1.001 eV per atom
- Calculated total energy: -7.660 eV per atom